## Ce2OF (PBE)

Data for an optimized crystal structure of Ce2OF.

Cell lengths 3.130, 3.130, 6.518 Å; angles 90.00, 90.00, 90.00 degrees
Fractional coordinates of all 4 atoms:
Ce: 0.000 0.000 0.228
Ce: 0.000 0.000 0.772
O: 0.500 0.500 0.000
F: 0.500 0.500 0.500

Output
Uncorrected formation energy in eV/f.u.: -7.83
Distance to the lowest polymorph of the same formula in meV/atom: 607


## Y3Zr (PBE)

Data for an optimized crystal structure of Y3Zr.

Cell lengths 3.517, 5.496, 6.158 Å; angles 90.00, 90.00, 90.00 degrees
Fractional coordinates of all 4 atoms:
Y: 0.000 0.000 0.000
Y: 0.000 0.500 0.336
Y: 0.500 0.000 0.522
Zr: 0.500 0.500 0.838

Output
Distance to the lowest polymorph of the same formula in meV/atom: 11


## Tm4InAu2 (PBE)

Data for an optimized crystal structure of Tm4InAu2.

Cell lengths 8.649, 8.649, 8.649 Å; angles 33.84, 33.84, 33.84 degrees
Fractional coordinates of all 7 atoms:
Tm: 0.117 0.117 0.117
Tm: 0.370 0.370 0.370
Tm: 0.630 0.630 0.630
Tm: 0.883 0.883 0.883
In: 0.500 0.500 0.500
Au: 0.250 0.250 0.250
Au: 0.750 0.750 0.750

Output
Distance to the lowest polymorph of the same formula in meV/atom: 0


## SmEuLuTh (PBE)

Data for an optimized crystal structure of SmEuLuTh.

Cell lengths 5.746, 5.746, 5.746 Å; angles 60.00, 60.00, 60.00 degrees
Fractional coordinates of all 4 atoms:
Sm: 0.000 0.000 0.000
Eu: 0.750 0.750 0.750
Lu: 0.500 0.500 0.500
Th: 0.250 0.250 0.250

Output
E_tot in eV/atom: -6.53


## UTcSn (PBE)

Data for an optimized crystal structure of UTcSn.

Cell lengths 6.148, 6.148, 4.930 Å; angles 103.55, 103.55, 46.69 degrees
Fractional coordinates of all 6 atoms:
U: 0.132 0.132 0.313
U: 0.868 0.868 0.687
Tc: 0.187 0.187 0.811
Tc: 0.813 0.813 0.189
Sn: 0.420 0.420 0.200
Sn: 0.580 0.580 0.800

Output
Distance to the lowest polymorph of the same formula in meV/atom: 0


## Tl8Hg3Sb2 (PBE)

Data for an optimized crystal structure of Tl8Hg3Sb2.

Cell lengths 10.548, 10.548, 4.959 Å; angles 91.87, 91.87, 49.84 degrees
Fractional coordinates of all 13 atoms:
Tl: 0.047 0.629 0.241
Tl: 0.067 0.067 0.291
Tl: 0.346 0.346 0.758
Tl: 0.371 0.953 0.759
Tl: 0.629 0.047 0.241
Tl: 0.654 0.654 0.242
Tl: 0.933 0.933 0.709
Tl: 0.953 0.371 0.759
Hg: 0.291 0.709 0.000
Hg: 0.500 0.500 0.500
Hg: 0.709 0.291 0.000
Sb: 0.235 0.235 0.248
Sb: 0.765 0.765 0.752

Output
Uncorrected formation energy in eV/f.u.: -0.09
Distance to the lowest polymorph of the same formula in meV/atom: 0


## Ca7Si6H4CO23 (PBE)

Data for an optimized crystal structure of Ca7Si6H4CO23.

Cell lengths 9.471, 9.471, 6.690 Å; angles 104.57, 104.57, 108.18 degrees
Fractional coordinates of all 41 atoms:
Ca: 0.000 0.000 0.000
Ca: 0.061 0.331 0.540
Ca: 0.241 0.742 0.025
Ca: 0.331 0.061 0.540
Ca: 0.627 0.919 0.514
Ca: 0.742 0.241 0.025
Ca: 0.919 0.627 0.514
Si: 0.163 0.372 0.094
Si: 0.312 0.666 0.523
Si: 0.372 0.163 0.094
Si: 0.614 0.822 0.961
Si: 0.666 0.312 0.523
Si: 0.822 0.614 0.961
H: 0.349 0.349 0.830
H: 0.433 0.433 0.687
H: 0.576 0.576 0.380
H: 0.666 0.666 0.244
C: 0.003 0.003 0.539
O: 0.014 0.266 0.145
O: 0.053 0.906 0.611
O: 0.061 0.061 0.406
O: 0.131 0.456 0.916
O: 0.169 0.623 0.617
O: 0.250 0.250 0.005
O: 0.266 0.014 0.145
O: 0.298 0.506 0.333
O: 0.338 0.811 0.428
O: 0.343 0.343 0.678
O: 0.456 0.131 0.916
O: 0.483 0.702 0.711
O: 0.506 0.298 0.333
O: 0.527 0.852 0.134
O: 0.623 0.169 0.617
O: 0.668 0.668 0.396
O: 0.702 0.483 0.711
O: 0.720 0.720 0.042
O: 0.730 0.972 0.920
O: 0.811 0.338 0.428
O: 0.852 0.527 0.134
O: 0.906 0.053 0.611
O: 0.972 0.730 0.920

Output
E_tot in eV/atom: -7.10


## K3NbO6 (PBE)

Data for an optimized crystal structure of K3NbO6.

Cell lengths 6.629, 6.629, 10.605 Å; angles 90.00, 90.00, 120.00 degrees
Fractional coordinates of all 20 atoms:
K: 0.000 0.000 0.000
K: 0.000 0.000 0.500
K: 0.333 0.667 0.078
K: 0.333 0.667 0.422
K: 0.667 0.333 0.578
K: 0.667 0.333 0.922
Nb: 0.333 0.667 0.750
Nb: 0.667 0.333 0.250
O: 0.165 0.388 0.640
O: 0.165 0.777 0.860
O: 0.223 0.388 0.860
O: 0.223 0.835 0.640
O: 0.388 0.165 0.360
O: 0.388 0.223 0.140
O: 0.612 0.777 0.640
O: 0.612 0.835 0.860
O: 0.777 0.165 0.140
O: 0.777 0.612 0.360
O: 0.835 0.223 0.360
O: 0.835 0.612 0.140

Output
Uncorrected formation energy in eV/f.u.: -13.28


Number 1: M_tot 3.01 μB/f.u.. Number 2: M_tot 0.00 μB/f.u.. Number 3: M_tot 0.00 μB/f.u.. Number 4: M_tot 7.08 μB/f.u.. Number 5: M_tot 1.39 μB/f.u.. Number 6: M_tot 0.00 μB/f.u.. Number 7: M_tot 0.00 μB/f.u.. Number 8: M_tot 4.02 μB/f.u..